# 1
Zr4MnIr3 | PBE | optimized geometry

Geometry as CIF:
```
data_Zr4MnIr3
_space_group_name_H-M_alt 'I 4/m m m'
_space_group_IT_number 139
_space_group_name_Hall '-I 4 2'
_cell_length_a 4.5827
_cell_length_b 4.5827
_cell_length_c 13.5113
_cell_angle_alpha 90.00
_cell_angle_beta 90.00
_cell_angle_gamma 90.00
loop_
_atom_site_label
_atom_site_fract_x
_atom_site_fract_y
_atom_site_fract_z
Zr1 0.0000 0.5000 0.1227
Mn1 0.0000 0.0000 0.0000
Ir1 0.0000 0.0000 0.2414
Ir2 0.0000 0.0000 0.5000
```

## Properties
* E_tot: -150.05 eV per cell
* formation enthalpy at 0 K: -0.635 eV/atom
* Fermi-level density of states: 4.77 states/eV/f.u.

# 2
LiCe2Sn4Au3 | PBE | optimized geometry

Geometry as CIF:
```
data_LiCe2Sn4Au3
_space_group_name_H-M_alt 'P -4 m 2'
_space_group_IT_number 115
_cell_length_a 4.4954
_cell_length_b 4.4954
_cell_length_c 11.9539
_cell_angle_alpha 90.00
_cell_angle_beta 90.00
_cell_angle_gamma 90.00
loop_
_space_group_symop_operation_xyz
'x,y,z'
'y,-x,-z'
'-x,-y,z'
'-y,x,-z'
'-x,y,z'
'-y,-x,-z'
'x,-y,z'
'y,x,-z'
loop_
_atom_site_label
_atom_site_fract_x
_atom_site_fract_y
_atom_site_fract_z
Li1 0.0000 0.0000 0.0000
Ce1 0.0000 0.5000 0.7596
Sn1 0.0000 0.0000 0.5000
Sn2 0.0000 0.5000 0.1318
Sn3 0.5000 0.5000 0.5000
Au1 0.0000 0.5000 0.3541
Au2 0.5000 0.5000 0.0000
```

## Properties
* E_tot: -44.75 eV per cell
* formation enthalpy at 0 K: -0.512 eV/atom
* Fermi-level density of states: 15.72 states/eV/f.u.

# 3
MgSi | PBE | optimized geometry

Geometry as CIF:
```
data_MgSi
_space_group_name_H-M_alt 'C 1 2/m 1'
_space_group_IT_number 12
_cell_length_a 11.2324
_cell_length_b 4.0649
_cell_length_c 10.3804
_cell_angle_alpha 90.00
_cell_angle_beta 106.22
_cell_angle_gamma 90.00
loop_
_space_group_symop_operation_xyz
'x,y,z'
'-x,-y,-z'
'-x,y,-z'
'x,-y,z'
'x+1/2,y+1/2,z'
'-x+1/2,-y+1/2,-z'
'-x+1/2,y+1/2,-z'
'x+1/2,-y+1/2,z'
loop_
_atom_site_label
_atom_site_fract_x
_atom_site_fract_y
_atom_site_fract_z
Mg1 0.0941 0.0000 0.2555
Mg2 0.1286 0.5000 0.8069
Mg3 0.1842 0.0000 0.5859
Si1 0.0573 0.5000 0.4204
Si2 0.1101 0.0000 0.9796
Si3 0.1952 0.5000 0.1175
```

## Properties
* E_tot: -82.79 eV per cell
* uncorrected formation energy: 0.059 eV/atom
* Fermi-level density of states: 0.48 states/eV/f.u.

# 4
ScTcRh2C | PBE | optimized geometry

Geometry as CIF:
```
data_ScTcRh2C
_space_group_name_H-M_alt 'P 4/m m m'
_space_group_IT_number 123
_space_group_name_Hall '-P 4 2'
_cell_length_a 4.0865
_cell_length_b 4.0865
_cell_length_c 4.1622
_cell_angle_alpha 90.00
_cell_angle_beta 90.00
_cell_angle_gamma 90.00
loop_
_atom_site_label
_atom_site_fract_x
_atom_site_fract_y
_atom_site_fract_z
Sc1 0.0000 0.0000 0.0000
Tc1 0.5000 0.5000 0.0000
Rh1 0.0000 0.5000 0.5000
C1 0.5000 0.5000 0.5000
```

## Properties
* E_tot: -42.38 eV per cell
* formation enthalpy at 0 K: -0.351 eV/atom
* Fermi-level density of states: 3.50 states/eV/f.u.

# 5
Y2HgSe | PBE | optimized geometry

Geometry as CIF:
```
data_Y2HgSe
_space_group_name_H-M_alt 'R 3 m'
_space_group_IT_number 160
_space_group_name_Hall 'R 3 -2"'
_cell_length_a 3.9183
_cell_length_b 3.9183
_cell_length_c 23.8412
_cell_angle_alpha 90.00
_cell_angle_beta 90.00
_cell_angle_gamma 120.00
loop_
_atom_site_label
_atom_site_fract_x
_atom_site_fract_y
_atom_site_fract_z
Y1 0.0000 0.0000 0.0000
Y2 0.0000 0.0000 0.1836
Hg1 0.0000 0.0000 0.4251
Se1 0.0000 0.0000 0.5935
```

## Properties
* E_tot: -62.75 eV per cell
* uncorrected formation energy: -1.051 eV/atom
* polymorph energy (0 for the lowest one): 0.072 eV/atom
* Fermi-level density of states: 3.10 states/eV/f.u.

# 6
Pb2C | PBE | optimized geometry

Geometry as CIF:
```
data_Pb2C
_space_group_name_H-M_alt 'P 63/m m c'
_space_group_IT_number 194
_space_group_name_Hall '-P 6c 2c'
_cell_length_a 3.5865
_cell_length_b 3.5865
_cell_length_c 14.9917
_cell_angle_alpha 90.00
_cell_angle_beta 90.00
_cell_angle_gamma 120.00
loop_
_atom_site_label
_atom_site_fract_x
_atom_site_fract_y
_atom_site_fract_z
Pb1 0.0000 0.0000 0.1501
C1 0.3333 0.6667 0.2500
```

## Properties
* E_tot: -26.52 eV per cell
* polymorph energy (0 for the lowest one): 0.083 eV/atom
* formation enthalpy at 0 K: 1.127 eV/atom
* Fermi-level density of states: 0.62 states/eV/f.u.

Question: Look up the Fermi-level density of states of the fourth one.
Answer: 3.50 states/eV/f.u.

Copy entry 4 word for word.
ScTcRh2C | PBE | optimized geometry

Geometry as CIF:
```
data_ScTcRh2C
_space_group_name_H-M_alt 'P 4/m m m'
_space_group_IT_number 123
_space_group_name_Hall '-P 4 2'
_cell_length_a 4.0865
_cell_length_b 4.0865
_cell_length_c 4.1622
_cell_angle_alpha 90.00
_cell_angle_beta 90.00
_cell_angle_gamma 90.00
loop_
_atom_site_label
_atom_site_fract_x
_atom_site_fract_y
_atom_site_fract_z
Sc1 0.0000 0.0000 0.0000
Tc1 0.5000 0.5000 0.0000
Rh1 0.0000 0.5000 0.5000
C1 0.5000 0.5000 0.5000
```

## Properties
* E_tot: -42.38 eV per cell
* formation enthalpy at 0 K: -0.351 eV/atom
* Fermi-level density of states: 3.50 states/eV/f.u.

Please write out number 4 again, unchanged.
ScTcRh2C | PBE | optimized geometry

Geometry as CIF:
```
data_ScTcRh2C
_space_group_name_H-M_alt 'P 4/m m m'
_space_group_IT_number 123
_space_group_name_Hall '-P 4 2'
_cell_length_a 4.0865
_cell_length_b 4.0865
_cell_length_c 4.1622
_cell_angle_alpha 90.00
_cell_angle_beta 90.00
_cell_angle_gamma 90.00
loop_
_atom_site_label
_atom_site_fract_x
_atom_site_fract_y
_atom_site_fract_z
Sc1 0.0000 0.0000 0.0000
Tc1 0.5000 0.5000 0.0000
Rh1 0.0000 0.5000 0.5000
C1 0.5000 0.5000 0.5000
```

## Properties
* E_tot: -42.38 eV per cell
* formation enthalpy at 0 K: -0.351 eV/atom
* Fermi-level density of states: 3.50 states/eV/f.u.

Question: Among the records above, which one has the highest Fermi-level density of states?
Answer: LiCe2Sn4Au3